5
Lattice="3.691 0.000 0.000 0.000 3.691 0.000 0.000 0.000 7.072" Properties=species:S:1:pos:R:3 comment="PtAuSeN2 (PBEsol, relaxed)" e_tot_ev_per_atom=-4.598 formation_energy_uncorrected_ev_per_fu=8.8 pbc="T T T"
Pt 0.000 0.000 0.000
Au 1.845 1.845 3.536
Se 1.845 1.845 0.000
N 0.000 1.845 3.536
N 1.845 0.000 3.536



4
Lattice="6.508 -1.534 0.000 6.508 1.534 0.000 -2.027 0.000 5.027" Properties=species:S:1:pos:R:3 comment="KZr2Hg (PBEsol, relaxed)" delta_e_f_ev_per_fu=1.24 e_tot_ev_per_atom=-4.659 pbc="T T T"
K 0.000 0.000 0.000
Zr 1.424 0.000 3.546
Zr 9.566 0.000 1.481
Hg 5.495 0.000 2.513



4
Lattice="3.545 0.000 0.000 0.000 4.803 0.000 0.000 0.000 5.908" Properties=species:S:1:pos:R:3 comment="LaYSi2 (PBEsol, relaxed)" e_tot_ev_per_atom=-6.370 formation_energy_uncorrected_ev_per_fu=-1.8 de_polymorph_kcal_per_mol_atoms=8.37 pbc="T T T"
La 0.000 0.000 0.000
Y 1.772 2.401 2.954
Si 0.000 0.000 2.954
Si 1.772 2.401 0.000



5
Lattice="4.108 0.000 0.000 0.000 4.108 0.000 0.000 0.000 4.108" Properties=species:S:1:pos:R:3 comment="Ta3HPd (PBEsol, relaxed)" e_tot_ev_per_atom=-9.478 de_polymorph_kcal_per_mol_atoms=0.00 pbc="T T T"
Ta 0.000 0.000 2.054
Ta 0.000 2.054 0.000
Ta 2.054 0.000 0.000
H 0.000 0.000 0.000
Pd 2.054 2.054 2.054



4
Lattice="5.004 0.000 0.000 0.000 5.004 0.000 0.000 0.000 3.096" Properties=species:S:1:pos:R:3 comment="KScBe2 (PBEsol, relaxed)" delta_e_f_ev_per_fu=3.17 e_tot_ev_per_atom=-3.143 de_polymorph_kcal_per_mol_atoms=0.00 pbc="T T T"
K 0.000 0.000 0.000
Sc 2.502 2.502 0.000
Be 0.000 2.502 1.548
Be 2.502 0.000 1.548



32
Lattice="3.624 -5.130 0.000 3.624 5.130 0.000 0.000 0.000 10.273" Properties=species:S:1:pos:R:3 comment="TaNi6Au (PBEsol, relaxed)" delta_e_f_ev_per_fu=-1.29 e_tot_ev_per_atom=-6.839 pbc="T T T"
Ta 0.000 0.000 2.547
Ta 0.000 0.000 7.726
Ta 3.624 2.595 5.137
Ta 3.624 -2.595 5.137
Ni 0.000 0.000 0.000
Ni 0.000 0.000 5.137
Ni 1.782 1.276 1.314
Ni 1.782 1.276 8.959
Ni 1.798 1.290 3.876
Ni 1.798 1.290 6.397
Ni 3.624 2.592 2.619
Ni 3.624 2.592 7.654
Ni 1.782 -1.276 1.314
Ni 1.782 -1.276 8.959
Ni 1.798 -1.290 3.876
Ni 1.798 -1.290 6.397
Ni 3.624 0.000 0.000
Ni 3.624 0.000 5.137
Ni 5.450 1.290 3.876
Ni 5.450 1.290 6.397
Ni 5.466 1.276 1.314
Ni 5.466 1.276 8.959
Ni 3.624 -2.592 2.619
Ni 3.624 -2.592 7.654
Ni 5.450 -1.290 3.876
Ni 5.450 -1.290 6.397
Ni 5.466 -1.276 1.314
Ni 5.466 -1.276 8.959
Au 3.624 2.560 0.000
Au 3.624 0.000 2.549
Au 3.624 0.000 7.724
Au 3.624 -2.560 0.000



4
Lattice="3.145 0.000 0.000 0.000 3.145 0.000 0.000 0.000 6.432" Properties=species:S:1:pos:R:3 comment="TePW2 (PBEsol, relaxed)" e_tot_ev_per_atom=-8.999 formation_energy_uncorrected_ev_per_fu=0.9 de_polymorph_kcal_per_mol_atoms=0.00 pbc="T T T"
Te 0.000 0.000 0.000
P 0.000 0.000 3.216
W 1.572 1.572 1.879
W 1.572 1.572 4.553



5
Lattice="4.062 0.000 0.000 0.000 4.062 0.000 0.000 0.000 4.062" Properties=species:S:1:pos:R:3 comment="HSeS3 (PBEsol, relaxed)" e_tot_ev_per_atom=-3.153 pbc="T T T"
H 0.000 0.000 0.000
Se 2.031 2.031 2.031
S 0.000 0.000 2.031
S 0.000 2.031 0.000
S 2.031 0.000 0.000